# Sr2Tl2Sn

Crystalline Sr2Tl2Sn at its relaxed geometry (PBE, Alexandria via LeMat-Bulk).

Space group ... No. 127
Energy of formation from the pure elements ... -0.18 eV/atom
Energy relative to the lowest polymorph listed for this composition ... 246.2 meV per atom
E_tot ... -0.1912 Ry/atom

Lattice parameters (Å, degrees): 9.192 9.192 4.240 90.00 90.00 90.00
Atoms (fractional coordinates):
Sr  0.164  0.336  0.000
Sr  0.336  0.836  0.000
Sr  0.664  0.164  0.000
Sr  0.836  0.664  0.000
Tl  0.138  0.638  0.500
Tl  0.362  0.138  0.500
Tl  0.638  0.862  0.500
Tl  0.862  0.362  0.500
Sn  0.000  0.000  0.000
Sn  0.500  0.500  0.000

---

# Sr2Tl3Sn2

Crystalline Sr2Tl3Sn2 at its relaxed geometry (PBE, Alexandria via LeMat-Bulk).

Space group ... No. 12
Energy of formation from the pure elements ... -0.36 eV/atom
E_tot ... -0.2201 Ry/atom

Lattice parameters (Å, degrees): 6.443 6.443 7.734 95.93 95.93 45.58
Atoms (fractional coordinates):
Sr  0.114  0.114  0.313
Sr  0.886  0.886  0.687
Tl  0.196  0.196  0.860
Tl  0.500  0.500  0.000
Tl  0.804  0.804  0.140
Sn  0.401  0.401  0.374
Sn  0.599  0.599  0.626

---

# Sr2TlSn

Crystalline Sr2TlSn at its relaxed geometry (PBE, Alexandria via LeMat-Bulk).

Space group ... No. 123
Energy of formation from the pure elements ... -0.52 eV/atom
E_tot ... -0.2170 Ry/atom

Lattice parameters (Å, degrees): 5.538 5.538 4.418 90.00 90.00 90.00
Atoms (fractional coordinates):
Sr  0.000  0.500  0.000
Sr  0.500  0.000  0.000
Tl  0.000  0.000  0.500
Sn  0.500  0.500  0.500

---

# Sr4TlSn

Crystalline Sr4TlSn at its relaxed geometry (PBE, Alexandria via LeMat-Bulk).

Space group ... No. 15
Energy of formation from the pure elements ... -0.41 eV/atom
E_tot ... -0.1904 Ry/atom

Lattice parameters (Å, degrees): 9.321 9.321 7.517 108.48 108.48 109.39
Atoms (fractional coordinates):
Sr  0.049  0.693  0.913
Sr  0.251  0.360  0.743
Sr  0.307  0.951  0.587
Sr  0.360  0.251  0.243
Sr  0.640  0.749  0.757
Sr  0.693  0.049  0.413
Sr  0.749  0.640  0.257
Sr  0.951  0.307  0.087
Tl  0.012  0.988  0.750
Tl  0.988  0.012  0.250
Sn  0.361  0.639  0.250
Sn  0.639  0.361  0.750

---

# Sr2TlSn2

Crystalline Sr2TlSn2 at its relaxed geometry (PBE, Alexandria via LeMat-Bulk).

Space group ... No. 139
Energy of formation from the pure elements ... -0.30 eV/atom
E_tot ... -0.2237 Ry/atom

Lattice parameters (Å, degrees): 10.214 10.214 10.214 155.89 155.89 34.36
Atoms (fractional coordinates):
Sr  0.104  0.104  0.000
Sr  0.896  0.896  0.000
Tl  0.500  0.500  0.000
Sn  0.250  0.750  0.500
Sn  0.750  0.250  0.500

---

# SrTlSn2

Crystalline SrTlSn2 at its relaxed geometry (PBE, Alexandria via LeMat-Bulk).

Space group ... No. 122
Energy of formation from the pure elements ... -0.16 eV/atom
Energy relative to the lowest polymorph listed for this composition ... 190.0 meV per atom
E_tot ... -0.2331 Ry/atom

Lattice parameters (Å, degrees): 11.426 11.426 11.426 154.57 154.57 36.27
Atoms (fractional coordinates):
Sr  0.000  0.000  0.000
Sr  0.750  0.250  0.500
Tl  0.250  0.750  0.500
Tl  0.500  0.500  0.000
Sn  0.192  0.625  0.067
Sn  0.375  0.442  0.567
Sn  0.558  0.125  0.933
Sn  0.875  0.808  0.433

---

# Sr2Tl8Sn

Crystalline Sr2Tl8Sn at its relaxed geometry (PBE, Alexandria via LeMat-Bulk).

Space group ... No. 123
Energy of formation from the pure elements ... -0.17 eV/atom
E_tot ... -0.1881 Ry/atom

Lattice parameters (Å, degrees): 5.216 5.216 12.948 90.00 90.00 90.00
Atoms (fractional coordinates):
Sr  0.000  0.000  0.186
Sr  0.000  0.000  0.814
Tl  0.000  0.500  0.000
Tl  0.000  0.500  0.360
Tl  0.000  0.500  0.640
Tl  0.500  0.000  0.000
Tl  0.500  0.000  0.360
Tl  0.500  0.000  0.640
Tl  0.500  0.500  0.173
Tl  0.500  0.500  0.827
Sn  0.000  0.000  0.500

---

# SrTlSn2

Crystalline SrTlSn2 at its relaxed geometry (PBE, Alexandria via LeMat-Bulk).

Space group ... No. 166
Energy of formation from the pure elements ... 0.00 eV/atom
Energy relative to the lowest polymorph listed for this composition ... 350.5 meV per atom
E_tot ... -0.2214 Ry/atom

Lattice parameters (Å, degrees): 8.543 8.543 8.543 29.98 29.98 29.98
Atoms (fractional coordinates):
Sr  0.000  0.000  0.000
Tl  0.500  0.500  0.500
Sn  0.235  0.235  0.235
Sn  0.765  0.765  0.765